## Ce2ErPuAs4 (PBE)

Data for crystalline Ce2ErPuAs4 at its relaxed geometry.

Geometry as CIF:
```
data_Ce2ErPuAs4
_chemical_formula_sum 'Ce2 Er1 Pu1 As4'
_cell_length_a 7.194
_cell_length_b 4.172
_cell_length_c 7.224
_cell_angle_alpha 90.00
_cell_angle_beta 109.57
_cell_angle_gamma 90.00
_space_group_name_H-M_alt 'P 1 2/m 1'
_space_group_IT_number 10
loop_
_space_group_symop_operation_xyz
'x,y,z'
'-x,-y,-z'
'-x,y,-z'
'x,-y,z'
loop_
_atom_site_label
_atom_site_fract_x
_atom_site_fract_y
_atom_site_fract_z
Ce1 0.000 0.000 0.000
Ce2 0.000 0.500 0.500
Er1 0.500 0.000 0.500
Pu1 0.500 0.500 0.000
As1 0.255 0.000 0.750
As2 0.255 0.500 0.253
```

Values from the calculation:
Total magnetic moment, μB per formula unit: 6.60
Total energy, eV per cell: -60.150
Mass density, g/cm3: 8.1

***

## Ce2ErAs2Rh7 (PBE)

Data for crystalline Ce2ErAs2Rh7 at its relaxed geometry.

Geometry as CIF:
```
data_Ce2ErAs2Rh7
_chemical_formula_sum 'Ce4 Er2 As4 Rh14'
_cell_length_a 5.757
_cell_length_b 5.746
_cell_length_c 13.262
_cell_angle_alpha 90.00
_cell_angle_beta 102.16
_cell_angle_gamma 90.00
_space_group_name_H-M_alt 'C 1 2/m 1'
_space_group_IT_number 12
loop_
_space_group_symop_operation_xyz
'x,y,z'
'-x,-y,-z'
'-x,y,-z'
'x,-y,z'
'x+1/2,y+1/2,z'
'-x+1/2,-y+1/2,-z'
'-x+1/2,y+1/2,-z'
'x+1/2,-y+1/2,z'
loop_
_atom_site_label
_atom_site_fract_x
_atom_site_fract_y
_atom_site_fract_z
Ce1 0.165 0.000 0.345
Er1 0.000 0.000 0.000
As1 0.128 0.500 0.264
Rh1 0.000 0.500 0.000
Rh2 0.172 0.250 0.840
Rh3 0.214 0.500 0.457
```

Values from the calculation:
Total magnetic moment, μB per formula unit: 0.03
Total energy, eV per cell: -173.067
Mass density, g/cm3: 10.2

***

## Ce2ErAs3Rh4 (PBE)

Data for crystalline Ce2ErAs3Rh4 at its relaxed geometry.

Geometry as CIF:
```
data_Ce2ErAs3Rh4
_chemical_formula_sum 'Ce2 Er1 As3 Rh4'
_cell_length_a 4.096
_cell_length_b 4.096
_cell_length_c 11.478
_cell_angle_alpha 90.00
_cell_angle_beta 90.00
_cell_angle_gamma 90.00
_space_group_name_H-M_alt 'P -4 m 2'
_space_group_IT_number 115
loop_
_space_group_symop_operation_xyz
'x,y,z'
'y,-x,-z'
'-x,-y,z'
'-y,x,-z'
'-x,y,z'
'-y,-x,-z'
'x,-y,z'
'y,x,-z'
loop_
_atom_site_label
_atom_site_fract_x
_atom_site_fract_y
_atom_site_fract_z
Ce1 0.000 0.500 0.227
Er1 0.000 0.000 0.500
As1 0.000 0.500 0.873
As2 0.500 0.500 0.500
Rh1 0.000 0.000 0.000
Rh2 0.000 0.500 0.660
Rh3 0.500 0.500 0.000
```

Values from the calculation:
Total magnetic moment, μB per formula unit: 1.25
Total energy, eV per cell: -69.395
Mass density, g/cm3: 9.3

***

## Ce2ErAs4Rh3 (PBE)

Data for crystalline Ce2ErAs4Rh3 at its relaxed geometry.

Geometry as CIF:
```
data_Ce2ErAs4Rh3
_chemical_formula_sum 'Ce2 Er1 As4 Rh3'
_cell_length_a 4.334
_cell_length_b 4.334
_cell_length_c 10.720
_cell_angle_alpha 90.00
_cell_angle_beta 90.00
_cell_angle_gamma 90.00
_space_group_name_H-M_alt 'P -4 m 2'
_space_group_IT_number 115
loop_
_space_group_symop_operation_xyz
'x,y,z'
'y,-x,-z'
'-x,-y,z'
'-y,x,-z'
'-x,y,z'
'-y,-x,-z'
'x,-y,z'
'y,x,-z'
loop_
_atom_site_label
_atom_site_fract_x
_atom_site_fract_y
_atom_site_fract_z
Ce1 0.000 0.500 0.222
Er1 0.000 0.000 0.500
As1 0.000 0.000 0.000
As2 0.000 0.500 0.661
As3 0.500 0.500 0.000
Rh1 0.000 0.500 0.891
Rh2 0.500 0.500 0.500
```

Values from the calculation:
Total magnetic moment, μB per formula unit: 1.10
Total energy, eV per cell: -66.666
Mass density, g/cm3: 8.7

***

Short version: calculated formation energy = -1349; -779; -961; -958 meV per atom, in the order given.
Short version: V = 204; 429; 193; 201 Å³ per cell, in the order given.